The following is a DFT calculation (PBE-GGA) of an optimized crystal structure of Pr4SiTe2Br.

Calculated values
**Uncorrected energy**: -5.322 eV per atom
**Formation energy (no corrections)**: -1260 meV/atom
**SG**: P2/m, No. 10
**V**: 30.97 A^3/atom

Cell lengths 7.716, 4.386, 7.732 Å; angles 90.00, 108.76, 90.00 degrees
Fractional coordinates of all 8 atoms:
Pr: 0.224 0.000 0.223
Pr: 0.231 0.500 0.766
Pr: 0.769 0.500 0.234
Pr: 0.776 0.000 0.777
Si: 0.000 0.500 0.000
Te: 0.000 0.000 0.500
Te: 0.500 0.500 0.500
Br: 0.500 0.000 0.000